This record from the Alexandria database describes a geometry-optimized LaAgW structure. The functional is PBE.

a b c (Å): 6.7226 6.7226 6.7226
angles (deg): 90.00 90.00 90.00
Last column: nearest neighbours and their distance in Å.
Space group F-43m (No. 216)
Symmetry-distinct sites (fractional):
La: 0.0000 0.0000 0.0000  4 W 2.91
Ag: 0.0000 0.0000 0.5000  4 W 2.91
W: 0.2500 0.2500 0.7500  4 La 2.91, 4 Ag 2.91

DOS(E_F)	1.1187	states/eV per atom
ΔE_f	1.1351	eV per atom
calculated density	9.41	g/cm3
total energy	-69.3	eV for the cell shown

=====

This record from the Alexandria database describes a geometry-optimized LaAg2W structure. The functional is PBE.

a b c (Å): 4.3058 4.3058 9.1250
angles (deg): 90.00 90.00 90.00
Last column: nearest neighbours and their distance in Å.
Space group I-4m2 (No. 119)
Symmetry-distinct sites (fractional):
La: 0.0000 0.0000 0.0000  8 Ag 3.04-3.14, 4 W 3.14
Ag: 0.0000 0.0000 0.5000  4 La 3.04, 4 W 3.14, 4 Ag 3.14
Ag: 0.0000 0.5000 0.2500  4 W 3.04, 4 La 3.14, 4 Ag 3.14
W: 0.0000 0.5000 0.7500  8 Ag 3.04-3.14, 4 La 3.14

DOS(E_F)	0.9656	states/eV per atom
ΔE_f	0.6937	eV per atom
calculated density	10.57	g/cm3
total energy	-41.6	eV for the cell shown